1.
Li2SbAu: relaxed, PBE.

abc: 2.932 4.346 5.963
angles: 90.00 90.00 90.00
Element x y z (fractional)
Au: 0.500 0.500 0.814
Li: 0.000 0.000 0.965
Li: 0.500 0.500 0.251
Sb: 0.000 0.000 0.469

Total energy in eV for the cell shown: -12.6
Energy relative to the elements, uncorrected in eV per atom: -0.3556

2.
Li2SbAu: relaxed, PBE.

abc: 4.697 4.697 4.669
angles: 120.27 120.27 90.10
Element x y z (fractional)
Li: 0.000 0.000 0.000
Li: 0.251 0.749 0.500
Sb: 0.500 0.500 0.000
Au: 0.749 0.251 0.500

Total energy in eV for the cell shown: -13.4
Energy relative to the elements, uncorrected in eV per atom: -0.5317